The following is a DFT calculation (PBE) of an optimized crystal structure of LiSnRu2Au.

Calculated values
* E: -4.847 eV/atom
* magnetization: 1.50 μB per formula unit
* space group: P4/mmm
* DFT formation energy: 703 meV/atom

Unit cell a=4.330 b=4.330 c=4.256 alpha=90.00 beta=90.00 gamma=90.00
Sites, in units of the cell vectors:
Li (0.000, 0.000, 0.000)
Sn (0.500, 0.500, 0.500)
Ru (0.000, 0.500, 0.000)
Ru (0.500, 0.000, 0.000)
Au (0.000, 0.000, 0.500)

The following is a DFT calculation (PBE) of an optimized crystal structure of LiTlRuAu2.

Calculated values
* E: -3.508 eV/atom
* magnetization: 1.00 μB per formula unit
* space group: P4/mmm
* DFT formation energy: 514 meV/atom

Unit cell a=5.146 b=5.146 c=5.148 alpha=90.00 beta=90.00 gamma=90.00
Sites, in units of the cell vectors:
Li (0.000, 0.000, 0.000)
Tl (0.500, 0.500, 0.000)
Ru (0.500, 0.500, 0.500)
Au (0.000, 0.500, 0.500)
Au (0.500, 0.000, 0.500)

The following is a DFT calculation (PBE) of an optimized crystal structure of LiAuS.

Calculated values
* E: -3.550 eV/atom
* magnetization: 0.00 μB per formula unit
* space group: Ima2
* E_form (uncorrected): -0.444 eV/atom

Unit cell a=7.394 b=7.394 c=7.394 alpha=157.76 beta=68.61 gamma=116.05
Sites, in units of the cell vectors:
Li (0.250, 0.250, 0.500)
Li (0.750, 0.750, 0.500)
Au (0.653, 0.000, 0.153)
Au (0.847, 0.500, 0.847)
S (0.045, 0.500, 0.045)
S (0.455, 0.000, 0.955)

The following is a DFT calculation (PBE) of an optimized crystal structure of Li4AuS3.

Calculated values
* E: -3.819 eV/atom
* magnetization: 0.00 μB per formula unit
* space group: C2/c
* E_form (uncorrected): -0.904 eV/atom

Unit cell a=6.481 b=6.481 c=8.235 alpha=93.28 beta=93.28 gamma=52.63
Sites, in units of the cell vectors:
Li (0.036, 0.744, 0.987)
Li (0.093, 0.540, 0.327)
Li (0.256, 0.964, 0.513)
Li (0.460, 0.907, 0.173)
Li (0.540, 0.093, 0.827)
Li (0.744, 0.036, 0.487)
Li (0.907, 0.460, 0.673)
Li (0.964, 0.256, 0.013)
Au (0.444, 0.556, 0.750)
Au (0.556, 0.444, 0.250)
S (0.025, 0.975, 0.250)
S (0.312, 0.339, 0.587)
S (0.339, 0.312, 0.087)
S (0.661, 0.688, 0.913)
S (0.688, 0.661, 0.413)
S (0.975, 0.025, 0.750)

The following is a DFT calculation (PBE) of an optimized crystal structure of LiAuS.

Calculated values
* E: -3.659 eV/atom
* magnetization: 0.00 μB per formula unit
* space group: Pnma
* E_form (uncorrected): -0.553 eV/atom

Unit cell a=8.011 b=4.407 c=7.059 alpha=90.00 beta=90.00 gamma=90.00
Sites, in units of the cell vectors:
Li (0.090, 0.250, 0.142)
Li (0.410, 0.750, 0.642)
Li (0.590, 0.250, 0.358)
Li (0.910, 0.750, 0.858)
Au (0.207, 0.250, 0.775)
Au (0.293, 0.750, 0.275)
Au (0.707, 0.250, 0.725)
Au (0.793, 0.750, 0.225)
S (0.210, 0.750, 0.910)
S (0.290, 0.250, 0.410)
S (0.710, 0.750, 0.590)
S (0.790, 0.250, 0.090)

The following is a DFT calculation (PBE) of an optimized crystal structure of LiAuS3.

Calculated values
* E: -3.830 eV/atom
* magnetization: 0.00 μB per formula unit
* space group: P2_1
* offset from the most stable computed form: 0.0000 eV per atom
* E_form (uncorrected): -0.316 eV/atom

Unit cell a=4.981 b=5.760 c=8.293 alpha=90.00 beta=91.44 gamma=90.00
Sites, in units of the cell vectors:
Li (0.029, 0.000, 0.362)
Li (0.971, 0.500, 0.638)
Au (0.481, 0.024, 0.003)
Au (0.519, 0.524, 0.997)
S (0.028, 0.030, 0.662)
S (0.423, 0.968, 0.724)
S (0.466, 0.594, 0.723)
S (0.534, 0.094, 0.277)
S (0.577, 0.468, 0.276)
S (0.972, 0.530, 0.338)

The following is a DFT calculation (PBE) of an optimized crystal structure of Li4Au2S.

Calculated values
* E: -3.225 eV/atom
* magnetization: 0.00 μB per formula unit
* space group: I4/mmm
* E_form (uncorrected): -0.606 eV/atom

Unit cell a=7.472 b=7.472 c=7.472 alpha=144.39 beta=144.39 gamma=51.25
Sites, in units of the cell vectors:
Li (0.000, 0.500, 0.500)
Li (0.174, 0.174, 0.000)
Li (0.500, 0.000, 0.500)
Li (0.826, 0.826, 0.000)
Au (0.365, 0.365, 0.000)
Au (0.635, 0.635, 0.000)
S (0.000, 0.000, 0.000)

The following is a DFT calculation (PBE) of an optimized crystal structure of LiAu3S.

Calculated values
* E: -2.940 eV/atom
* magnetization: 0.00 μB per formula unit
* space group: Pm-3m
* offset from the most stable computed form: 0.0000 eV per atom
* E_form (uncorrected): 0.234 eV/atom

Unit cell a=4.876 b=4.876 c=4.876 alpha=90.00 beta=90.00 gamma=90.00
Sites, in units of the cell vectors:
Li (0.000, 0.000, 0.000)
Au (0.000, 0.500, 0.500)
Au (0.500, 0.000, 0.500)
Au (0.500, 0.500, 0.000)
S (0.500, 0.500, 0.500)

The following is a DFT calculation (PBE) of an optimized crystal structure of Li2AuS2.

Calculated values
* E: -3.732 eV/atom
* magnetization: 0.00 μB per formula unit
* space group: P4/mbm
* offset from the most stable computed form: 0.0056 eV per atom
* E_form (uncorrected): -0.660 eV/atom

Unit cell a=6.790 b=6.790 c=3.664 alpha=90.00 beta=90.00 gamma=90.00
Sites, in units of the cell vectors:
Li (0.143, 0.357, 0.000)
Li (0.357, 0.857, 0.000)
Li (0.643, 0.143, 0.000)
Li (0.857, 0.643, 0.000)
Au (0.000, 0.000, 0.500)
Au (0.500, 0.500, 0.500)
S (0.172, 0.672, 0.500)
S (0.328, 0.172, 0.500)
S (0.672, 0.828, 0.500)
S (0.828, 0.328, 0.500)

The following is a DFT calculation (PBE) of an optimized crystal structure of Li5AuS3.

Calculated values
* E: -3.880 eV/atom
* magnetization: 0.00 μB per formula unit
* space group: C2/c
* E_form (uncorrected): -1.077 eV/atom

Unit cell a=7.173 b=7.173 c=8.448 alpha=107.18 beta=107.18 gamma=51.34
Sites, in units of the cell vectors:
Li (0.104, 0.587, 0.932)
Li (0.107, 0.583, 0.414)
Li (0.107, 0.893, 0.750)
Li (0.413, 0.896, 0.568)
Li (0.417, 0.893, 0.086)
Li (0.583, 0.107, 0.914)
Li (0.587, 0.104, 0.432)
Li (0.893, 0.107, 0.250)
Li (0.893, 0.417, 0.586)
Li (0.896, 0.413, 0.068)
Au (0.473, 0.527, 0.250)
Au (0.527, 0.473, 0.750)
S (0.000, 0.000, 0.000)
S (0.000, 0.000, 0.500)
S (0.308, 0.312, 0.655)
S (0.312, 0.308, 0.155)
S (0.688, 0.692, 0.845)
S (0.692, 0.688, 0.345)

The following is a DFT calculation (PBE) of an optimized crystal structure of LiAu3S.

Calculated values
* E: -2.610 eV/atom
* magnetization: 0.00 μB per formula unit
* space group: Pm-3m
* offset from the most stable computed form: 0.3303 eV per atom
* E_form (uncorrected): 0.565 eV/atom

Unit cell a=4.507 b=4.507 c=4.507 alpha=90.00 beta=90.00 gamma=90.00
Sites, in units of the cell vectors:
Li (0.000, 0.000, 0.000)
Au (0.000, 0.000, 0.500)
Au (0.000, 0.500, 0.000)
Au (0.500, 0.000, 0.000)
S (0.500, 0.500, 0.500)

The following is a DFT calculation (PBE) of an optimized crystal structure of Li2Au3S3.

Calculated values
* E: -3.651 eV/atom
* magnetization: 0.00 μB per formula unit
* space group: C2
* E_form (uncorrected): -0.395 eV/atom

Unit cell a=6.027 b=6.027 c=6.016 alpha=90.89 beta=90.89 gamma=89.00
Sites, in units of the cell vectors:
Li (0.201, 0.201, 0.298)
Li (0.799, 0.799, 0.702)
Au (0.000, 0.730, 0.231)
Au (0.270, 0.000, 0.769)
Au (0.731, 0.269, 0.500)
S (0.032, 0.499, 0.533)
S (0.501, 0.968, 0.467)
S (0.969, 0.031, 0.000)

The following is a DFT calculation (PBE) of an optimized crystal structure of Li2AuS2.

Calculated values
* E: -3.738 eV/atom
* magnetization: 0.00 μB per formula unit
* space group: I4/mmm
* offset from the most stable computed form: 0.0000 eV per atom
* E_form (uncorrected): -0.666 eV/atom

Unit cell a=6.371 b=6.371 c=6.371 alpha=134.85 beta=134.85 gamma=65.77
Sites, in units of the cell vectors:
Li (0.250, 0.750, 0.500)
Li (0.750, 0.250, 0.500)
Au (0.000, 0.000, 0.000)
S (0.212, 0.212, 0.000)
S (0.788, 0.788, 0.000)

The following is a DFT calculation (PBE) of an optimized crystal structure of LiAuS3.

Calculated values
* E: -3.154 eV/atom
* magnetization: 0.00 μB per formula unit
* space group: Pm-3m
* offset from the most stable computed form: 0.6759 eV per atom
* E_form (uncorrected): 0.360 eV/atom

Unit cell a=4.882 b=4.882 c=4.882 alpha=90.00 beta=90.00 gamma=90.00
Sites, in units of the cell vectors:
Li (0.000, 0.000, 0.000)
Au (0.500, 0.500, 0.500)
S (0.000, 0.500, 0.500)
S (0.500, 0.000, 0.500)
S (0.500, 0.500, 0.000)